Below is a PBEsol-optimized structure of Ni2IrRh, with properties calculated at the meta-GGA SCAN level.

As for the volume: 12.32 A^3/atom. The calculation puts the polymorph energy (0 for the lowest one) at 61.9 meV per atom.

The structure belongs to space group R3m (No. 160, hexagonal axes); the cell edges are 2.6274, 2.6274 and 24.7369 Å and the angles 90.00°, 90.00° and 120.00°. The asymmetric unit holds Ni at (0.0000, 0.0000, 0.0000), Ni at (0.0000, 0.0000, 0.2558), Ir at (0.0000, 0.0000, 0.7498) and Rh at (0.0000, 0.0000, 0.5058).

Below is a PBEsol-optimized structure of Ni2IrRu, with properties calculated at the meta-GGA SCAN level.

As for the volume: 12.10 A^3/atom. The calculation puts the polymorph energy (0 for the lowest one) at 105.0 meV per atom.

The structure belongs to space group I4/mmm (No. 139); the cell edges are 3.679, 3.679 and 7.151 Å and the angles 90.00°, 90.00° and 90.00°. The asymmetric unit holds Ni at (0.000, 0.500, 0.250), Ir at (0.000, 0.000, 0.000) and Ru at (0.000, 0.000, 0.500).

Below is a PBEsol-optimized structure of NiIrRu, with properties calculated at the meta-GGA SCAN level.

As for the volume: 12.70 A^3/atom. The calculation puts the polymorph energy (0 for the lowest one) at 94.4 meV per atom.

The structure belongs to space group I4mm (No. 107); the cell edges are 2.661, 2.661 and 10.768 Å and the angles 90.00°, 90.00° and 90.00°. The asymmetric unit holds Ni at (0.000, 0.000, 0.000), Ir at (0.000, 0.000, 0.332) and Ru at (0.000, 0.000, 0.663).

Below is a PBEsol-optimized structure of Ni2IrRu, with properties calculated at the meta-GGA SCAN level.

As for the volume: 12.15 A^3/atom. The calculation puts the polymorph energy (0 for the lowest one) at 32.8 meV per atom.

The structure belongs to space group Pmm2 (No. 25); the cell edges are 2.637, 3.640 and 5.064 Å and the angles 90.00°, 90.00° and 90.00°. The asymmetric unit holds Ni at (0.000, 0.000, 0.000), Ni at (0.500, 0.500, 0.232), Ir at (0.500, 0.500, 0.739) and Ru at (0.000, 0.000, 0.488).

Below is a PBEsol-optimized structure of Ni2IrRu, with properties calculated at the meta-GGA SCAN level.

As for the volume: 12.11 A^3/atom. The calculation puts the polymorph energy (0 for the lowest one) at 116.6 meV per atom.

The structure belongs to space group Pmmm (No. 47); the cell edges are 2.603, 3.563 and 5.221 Å and the angles 90.00°, 90.00° and 90.00°. The asymmetric unit holds Ni at (0.000, 0.000, 0.247), Ir at (0.500, 0.500, 0.500) and Ru at (0.500, 0.500, 0.000).

Below is a PBEsol-optimized structure of Ni2IrRu, with properties calculated at the meta-GGA SCAN level.

As for the volume: 12.12 A^3/atom. The calculation puts the polymorph energy (0 for the lowest one) at 36.4 meV per atom.

The structure belongs to space group Cm (No. 8); the cell edges are 8.587, 2.624 and 4.375 Å and the angles 90.00°, 100.47° and 90.00°. The asymmetric unit holds Ni at (0.000, 0.000, 0.000), Ni at (0.247, 0.500, 0.229), Ir at (0.498, 0.000, 0.495) and Ru at (0.248, 0.000, 0.737).

What did we get for energy of formation? Answer: 5.72 9.56 5.83 2.59 10.67 2.94 kJ per mole of atoms, in the order shown.
What did we get for total DFT energy (no corrections)? Answer: -34.24 -34.47 -40.64 -34.54 -34.46 -34.54 eV per atom, in the order shown.